No. 1
CuSiC3 after structural relaxation, computed with PBE.

The structure in POSCAR format:
```
CuSiC3
1.0
4.933 0.000 0.000
0.000 2.511 0.000
-0.940 0.000 5.470
Cu Si C
1 1 3
direct
0.000 0.000 0.000 Cu
0.338 0.500 0.824 Si
0.198 0.000 0.360 C
0.239 0.500 0.469 C
0.711 0.500 0.936 C
```

* calculated density: 3.129 g/cm3
* final energy: -6.455 eV/atom
* distance to the lowest polymorph of the same formula: 509 meV/atom

---

No. 2
K3La2CeTe6 after structural relaxation, computed with PBE.

The structure in POSCAR format:
```
K3La2CeTe6
1.0
4.075 -7.061 0.000
4.075 7.061 0.000
-2.716 0.000 8.216
K La Ce Te
3 2 1 6
direct
0.000 0.000 0.000 K
0.333 0.667 0.000 K
0.667 0.333 0.000 K
0.167 0.833 0.500 La
0.833 0.167 0.500 La
0.500 0.500 0.500 Ce
0.097 0.428 0.285 Te
0.241 0.241 0.715 Te
0.428 0.097 0.285 Te
0.572 0.903 0.715 Te
0.759 0.759 0.285 Te
0.903 0.572 0.715 Te
```

* calculated density: 4.568 g/cm3
* final energy: -4.606 eV/atom

---

No. 3
VTe2Pd after structural relaxation, computed with PBE.

The structure in POSCAR format:
```
VTe2Pd
1.0
0.000 3.434 3.434
3.434 0.000 3.434
3.434 3.434 0.000
V Te Pd
1 2 1
direct
0.000 0.000 0.000 V
0.250 0.250 0.250 Te
0.750 0.750 0.750 Te
0.500 0.500 0.500 Pd
```

* calculated density: 8.461 g/cm3
* final energy: -5.115 eV/atom
* distance to the lowest polymorph of the same formula: 195 meV/atom

---

No. 4
UO4 after structural relaxation, computed with PBE.

The structure in POSCAR format:
```
UO4
1.0
5.921 0.000 0.000
0.000 6.018 0.000
0.000 0.000 10.084
U O
4 16
direct
0.000 0.000 0.000 U
0.000 0.500 0.500 U
0.500 0.000 0.500 U
0.500 0.500 0.000 U
0.024 0.001 0.181 O
0.024 0.499 0.681 O
0.250 0.250 0.486 O
0.250 0.250 0.986 O
0.250 0.750 0.486 O
0.250 0.750 0.986 O
0.476 0.501 0.181 O
0.476 0.999 0.681 O
0.524 0.001 0.319 O
0.524 0.499 0.819 O
0.750 0.250 0.014 O
0.750 0.250 0.514 O
0.750 0.750 0.014 O
0.750 0.750 0.514 O
0.976 0.501 0.319 O
0.976 0.999 0.819 O
```

* calculated density: 5.583 g/cm3
* final energy: -8.199 eV/atom
* distance to the lowest polymorph of the same formula: 1 meV/atom

---

Energy relative to the elements, uncorrected
In order: 4.92; -17.34; 0.13; -9.87
Unit: eV per formula unit
Total magnetization
In order: 0.00; 1.00; 2.31; 0.00
Unit: μB/cell